ZnS2Br after structural relaxation. Source: Alexandria, functional PBE-GGA.

a = 3.7308 Å, b = 3.7308 Å, c = 22.2469 Å
α = 90.00°, β = 90.00°, γ = 120.00°
Space group R-3m (No. 166, hexagonal axes)
Symmetry-distinct sites (fractional):
Zn  0.0000  0.0000  0.0000 [3 per cell]
S  0.0000  0.0000  0.3906 [6 per cell]
Br  0.0000  0.0000  0.5000 [3 per cell]

Properties
Energy above the lowest structure with this stoichiometry: 0.0 meV/atom
Energy relative to the elements, uncorrected: -58 meV per atom

***

Zn2SBr after structural relaxation. Source: Alexandria, functional PBE-GGA.

a = 6.6927 Å, b = 6.6927 Å, c = 6.6927 Å
α = 90.00°, β = 90.00°, γ = 90.00°
Space group Fm-3m (No. 225)
Symmetry-distinct sites (fractional):
Zn  0.2500  0.2500  0.2500 [8 per cell]
S  0.0000  0.0000  0.0000 [4 per cell]
Br  0.0000  0.0000  0.5000 [4 per cell]

Properties
Energy relative to the elements, uncorrected: 92 meV per atom

***

ZnS8Br2 after structural relaxation. Source: Alexandria, functional PBE-GGA.

a = 14.9070 Å, b = 6.1250 Å, c = 9.1939 Å
α = 90.00°, β = 124.30°, γ = 90.00°
Space group C2/m (No. 12)
Symmetry-distinct sites (fractional):
Zn  0.0000  0.0000  0.0000 [2 per cell]
S  0.0172  0.5000  0.3129 [4 per cell]
S  0.1008  0.2590  0.2641 [8 per cell]
S  0.1673  0.5000  0.1817 [4 per cell]
Br  0.2000  0.0000  0.1084 [4 per cell]

Properties
Energy relative to the elements, uncorrected: 126 meV per atom

***

ZnSBr after structural relaxation. Source: Alexandria, functional PBE-GGA.

a = 13.3162 Å, b = 3.8458 Å, c = 6.9222 Å
α = 90.00°, β = 102.43°, γ = 90.00°
Space group C2/m (No. 12)
Symmetry-distinct sites (fractional):
Zn  0.0350  0.0000  0.2918 [4 per cell]
S  0.0668  0.5000  0.1153 [4 per cell]
Br  0.1390  0.0000  0.6324 [4 per cell]

Properties
Energy relative to the elements, uncorrected: -629 meV per atom

***

ZnS2Br after structural relaxation. Source: Alexandria, functional PBE-GGA.

a = 3.0859 Å, b = 3.0859 Å, c = 35.5502 Å
α = 90.00°, β = 90.00°, γ = 120.00°
Space group R-3m (No. 166, hexagonal axes)
Symmetry-distinct sites (fractional):
Zn  0.0000  0.0000  0.0000 [3 per cell]
S  0.0000  0.0000  0.0605 [6 per cell]
Br  0.0000  0.0000  0.5000 [3 per cell]

Properties
Energy above the lowest structure with this stoichiometry: 513.0 meV/atom
Energy relative to the elements, uncorrected: 455 meV per atom

***

ZnSBr3 after structural relaxation. Source: Alexandria, functional PBE-GGA.

a = 5.2035 Å, b = 5.2035 Å, c = 5.2035 Å
α = 90.00°, β = 90.00°, γ = 90.00°
Space group Pm-3m (No. 221)
Symmetry-distinct sites (fractional):
Zn  0.0000  0.0000  0.0000 [1 per cell]
S  0.5000  0.5000  0.5000 [1 per cell]
Br  0.0000  0.0000  0.5000 [3 per cell]

Properties
Energy above the lowest structure with this stoichiometry: 0.0 meV/atom
Energy relative to the elements, uncorrected: 220 meV per atom

***

ZnSBr3 after structural relaxation. Source: Alexandria, functional PBE-GGA.

a = 5.1755 Å, b = 5.1755 Å, c = 5.1755 Å
α = 90.00°, β = 90.00°, γ = 90.00°
Space group Pm-3m (No. 221)
Symmetry-distinct sites (fractional):
Zn  0.0000  0.0000  0.0000 [1 per cell]
S  0.5000  0.5000  0.5000 [1 per cell]
Br  0.0000  0.5000  0.5000 [3 per cell]

Properties
Energy above the lowest structure with this stoichiometry: 29.9 meV/atom
Energy relative to the elements, uncorrected: 250 meV per atom

***

ZnS2Br after structural relaxation. Source: Alexandria, functional PBE-GGA.

a = 6.4320 Å, b = 6.4320 Å, c = 9.4441 Å
α = 90.00°, β = 90.00°, γ = 90.00°
Space group I-42d (No. 122)
Symmetry-distinct sites (fractional):
Zn  0.0000  0.0000  0.0000 [4 per cell]
S  0.1873  0.2500  0.1250 [8 per cell]
Br  0.0000  0.0000  0.5000 [4 per cell]

Properties
Energy above the lowest structure with this stoichiometry: 304.4 meV/atom
Energy relative to the elements, uncorrected: 247 meV per atom

***

ZnS4Br after structural relaxation. Source: Alexandria, functional PBE-GGA.

a = 5.0573 Å, b = 7.3931 Å, c = 9.1361 Å
α = 74.88°, β = 76.46°, γ = 85.02°
Space group P-1 (No. 2)
Symmetry-distinct sites (fractional):
Zn  0.1891  0.1865  0.2089 [2 per cell]
S  0.1546  0.5003  0.0491 [2 per cell]
S  0.2191  0.8770  0.5862 [2 per cell]
S  0.3086  0.9674  0.0542 [2 per cell]
S  0.4090  0.2247  0.4039 [2 per cell]
Br  0.1427  0.6639  0.2870 [2 per cell]

Properties
Energy relative to the elements, uncorrected: -3 meV per atom

***

Zr2SBr after structural relaxation. Source: Alexandria, functional PBE-GGA.

a = 6.6553 Å, b = 6.6553 Å, c = 6.6553 Å
α = 90.00°, β = 90.00°, γ = 90.00°
Space group Fm-3m (No. 225)
Symmetry-distinct sites (fractional):
Zr  0.2500  0.2500  0.2500 [8 per cell]
S  0.0000  0.0000  0.0000 [4 per cell]
Br  0.0000  0.0000  0.5000 [4 per cell]

Properties
Energy above the lowest structure with this stoichiometry: 0.0 meV/atom
Energy relative to the elements, uncorrected: -664 meV per atom

***

Zr2SBr after structural relaxation. Source: Alexandria, functional PBE-GGA.

a = 4.7208 Å, b = 4.7208 Å, c = 16.7016 Å
α = 90.00°, β = 90.00°, γ = 90.00°
Space group I-42d (No. 122)
Symmetry-distinct sites (fractional):
Zr  0.2238  0.2500  0.1250 [8 per cell]
S  0.0000  0.0000  0.0000 [4 per cell]
Br  0.0000  0.0000  0.5000 [4 per cell]

Properties
Energy above the lowest structure with this stoichiometry: 115.0 meV/atom
Energy relative to the elements, uncorrected: -549 meV per atom

***

Zr3S2Br4 after structural relaxation. Source: Alexandria, functional PBE-GGA.

a = 3.5740 Å, b = 3.5740 Å, c = 22.0911 Å
α = 90.00°, β = 90.00°, γ = 120.00°
Space group P-6m2 (No. 187)
Symmetry-distinct sites (fractional):
Zr  0.0000  0.0000  0.0000 [1 per cell]
Zr  0.3333  0.6667  0.3124 [2 per cell]
S  0.3333  0.6667  0.0716 [2 per cell]
Br  0.0000  0.0000  0.2299 [2 per cell]
Br  0.0000  0.0000  0.3957 [2 per cell]

Properties
Energy relative to the elements, uncorrected: -1313 meV per atom